Entry 1:
Nd5CuRu2 | GGA-PBE | relaxed

```
Nd5CuRu2
1.0
-3.955 3.955 6.738
3.955 -3.955 6.738
3.955 3.955 -6.738
Nd Cu Ru
10 2 4
direct
0.000 0.000 0.000
0.024 0.524 0.822
0.202 0.024 0.500
0.298 0.798 0.822
0.476 0.298 0.500
0.500 0.500 0.000
0.524 0.702 0.500
0.702 0.202 0.178
0.798 0.976 0.500
0.976 0.476 0.178
0.250 0.250 0.000
0.750 0.750 0.000
0.140 0.360 0.500
0.360 0.860 0.220
0.640 0.140 0.780
0.860 0.640 0.500
```

Properties
Its space group is I4/mcm, No. 140.

---

Entry 2:
NdScCuRu | GGA-PBE | relaxed

```
NdScCuRu
1.0
0.000 3.400 3.400
3.400 0.000 3.400
3.400 3.400 0.000
Nd Sc Cu Ru
1 1 1 1
direct
0.000 0.000 0.000
0.500 0.500 0.500
0.750 0.750 0.750
0.250 0.250 0.250
```

Properties
Its space group is F-43m, No. 216.

---

Which VASP energy belongs to each record? In order, -95.84; -25.43 eV for the cell shown.
Which DFT formation energy belongs to each record? In order, -179; -239 meV/atom.